Below is an optimized crystal structure of Cs3Cd2Au3, with properties calculated at the PBE-GGA level.

Output
**Formation energy from the elements**: -0.2601 eV per atom
**ΔE to the lowest computed polymorph**: 0.0000 eV per atom
**Magnetic moment**: 0.0 μB per formula unit

Lattice parameters (Å, degrees): 9.767 16.888 7.210 90.00 90.00 90.00
Space group Pnma (No. 62)
Unique sites:
1 Cs 0.046 0.107 0.124 [8 per cell]
2 Cs 0.207 0.250 0.576 [4 per cell]
3 Cd 0.107 0.586 0.399 [8 per cell]
4 Au 0.144 0.750 0.538 [4 per cell]
5 Au 0.178 0.044 0.649 [8 per cell]

---

Below is an optimized crystal structure of Cs6Cd3Au, with properties calculated at the PBE-GGA level.

Output
**Formation energy from the elements**: -0.0420 eV per atom
**Magnetic moment**: 0.0 μB per formula unit

Lattice parameters (Å, degrees): 10.756 8.320 15.603 90.00 121.52 90.00
Space group P2_1/c (No. 14)
Unique sites:
1 Cs 0.110 0.162 0.289 [4 per cell]
2 Cs 0.256 0.057 0.605 [4 per cell]
3 Cs 0.386 0.604 0.570 [4 per cell]
4 Cd 0.000 0.000 0.000 [2 per cell]
5 Cd 0.357 0.709 0.829 [4 per cell]
6 Au 0.500 0.000 0.500 [2 per cell]

---

Below is an optimized crystal structure of Cs4Cd2Au3, with properties calculated at the PBE-GGA level.

Output
**Formation energy from the elements**: -0.1947 eV per atom
**Magnetic moment**: 0.3 μB per formula unit

Lattice parameters (Å, degrees): 19.677 4.614 8.975 90.00 109.24 90.00
Space group C2/m (No. 12)
Unique sites:
1 Cs 0.068 0.000 0.387 [4 per cell]
2 Cs 0.248 0.500 0.201 [4 per cell]
3 Cd 0.089 0.000 0.975 [4 per cell]
4 Au 0.000 0.500 0.000 [2 per cell]
5 Au 0.094 0.500 0.783 [4 per cell]

---

Below is an optimized crystal structure of Cs5CdAu4, with properties calculated at the PBE-GGA level.

Output
**Formation energy from the elements**: -0.2557 eV per atom
**Magnetic moment**: 0.0 μB per formula unit

Lattice parameters (Å, degrees): 4.397 4.397 22.473 90.00 90.00 90.00
Space group P4/mmm (No. 123)
Unique sites:
1 Cs 0.000 0.000 0.000 [1 per cell]
2 Cs 0.000 0.000 0.192 [2 per cell]
3 Cs 0.000 0.000 0.382 [2 per cell]
4 Cd 0.500 0.500 0.500 [1 per cell]
5 Au 0.500 0.500 0.097 [2 per cell]
6 Au 0.500 0.500 0.294 [2 per cell]

---

Below is an optimized crystal structure of CsCd2Au2, with properties calculated at the PBE-GGA level.

Output
**Formation energy from the elements**: -0.0910 eV per atom
**ΔE to the lowest computed polymorph**: 0.1209 eV per atom
**Magnetic moment**: 0.0 μB per formula unit

Lattice parameters (Å, degrees): 8.937 8.937 3.202 90.00 90.00 90.00
Space group P4/mbm (No. 127)
Unique sites:
1 Cs 0.000 0.000 0.000 [2 per cell]
2 Cd 0.121 0.379 0.000 [4 per cell]
3 Au 0.169 0.669 0.500 [4 per cell]

---

Below is an optimized crystal structure of Cs8Cd3Au2, with properties calculated at the PBE-GGA level.

Output
**Formation energy from the elements**: -0.0774 eV per atom
**Magnetic moment**: 0.0 μB per formula unit

Lattice parameters (Å, degrees): 10.994 19.571 6.927 90.00 90.00 90.00
Space group Cmmm (No. 65)
Unique sites:
1 Cs 0.000 0.107 0.000 [4 per cell]
2 Cs 0.000 0.314 0.000 [4 per cell]
3 Cs 0.220 0.376 0.500 [8 per cell]
4 Cd 0.000 0.000 0.500 [2 per cell]
5 Cd 0.139 0.500 0.000 [4 per cell]
6 Au 0.000 0.226 0.500 [4 per cell]

---

Below is an optimized crystal structure of Cs12Cd5Au3, with properties calculated at the PBE-GGA level.

Output
**Formation energy from the elements**: 0.0530 eV per atom
**Magnetic moment**: 2.4 μB per formula unit

Lattice parameters (Å, degrees): 22.278 22.278 22.278 90.00 90.00 90.00
Space group Ia-3d (No. 230)
Unique sites:
1 Cs 0.021 0.083 0.651 [96 per cell]
2 Cd 0.000 0.000 0.000 [16 per cell]
3 Cd 0.000 0.250 0.375 [24 per cell]
4 Au 0.000 0.250 0.125 [24 per cell]

---

Below is an optimized crystal structure of Cs4Cd5Au3, with properties calculated at the PBE-GGA level.

Output
**Formation energy from the elements**: -0.1566 eV per atom
**Magnetic moment**: 0.0 μB per formula unit

Lattice parameters (Å, degrees): 21.509 5.246 8.604 90.00 98.53 90.00
Space group C2/m (No. 12)
Unique sites:
1 Cs 0.093 0.000 0.413 [4 per cell]
2 Cs 0.173 0.000 0.993 [4 per cell]
3 Cd 0.000 0.000 0.000 [2 per cell]
4 Cd 0.068 0.500 0.747 [4 per cell]
5 Cd 0.245 0.500 0.374 [4 per cell]
6 Au 0.000 0.500 0.000 [2 per cell]
7 Au 0.193 0.500 0.667 [4 per cell]

---

Below is an optimized crystal structure of Cs2CdAu3, with properties calculated at the PBE-GGA level.

Output
**Formation energy from the elements**: -0.2427 eV per atom
**ΔE to the lowest computed polymorph**: 0.0000 eV per atom
**Magnetic moment**: 0.0 μB per formula unit

Lattice parameters (Å, degrees): 5.857 7.193 9.390 90.00 90.00 90.00
Space group Pmma (No. 51)
Unique sites:
1 Cs 0.250 0.000 0.129 [2 per cell]
2 Cs 0.250 0.500 0.366 [2 per cell]
3 Cd 0.250 0.500 0.904 [2 per cell]
4 Au 0.000 0.000 0.500 [2 per cell]
5 Au 0.250 0.202 0.714 [4 per cell]